[1]
## Rb2PuInF8 (PBE)

Data for a relaxed Rb2PuInF8 crystal.

## Properties
DFT total energy: -5.748 eV per atom
calculated volume: 200.9 Å³ per cell
space-group type: I-4m2 (119)

Geometry as POSCAR:
```
Rb2PuInF8
1.0
-3.009 -2.605 4.599
5.206 -0.548 3.096
-1.913 6.460 -1.614
Rb Pu In F
2 1 1 8
Cartesian
-1.912 1.139 3.416 Rb
0.000 0.000 0.000 Rb
2.196 2.168 2.665 Pu
1.099 -1.576 3.847 In
1.222 4.078 1.523 F
0.035 3.050 3.337 F
0.593 0.343 2.681 F
1.208 -1.118 6.101 F
-2.454 3.312 1.857 F
2.647 0.127 3.903 F
-1.267 4.340 0.043 F
-0.846 -0.902 4.880 F
```



[2]
## PuTlInF6 (PBE)

Data for a relaxed PuTlInF6 crystal.

## Properties
DFT total energy: -6.120 eV per atom
calculated volume: 201.1 Å³ per cell
space-group type: C2 (5)

Geometry as POSCAR:
```
PuTlInF6
1.0
6.787 0.017 0.001
3.408 5.871 -0.001
0.002 -0.003 5.054
Pu Tl In F
1 1 1 6
Cartesian
3.400 1.962 2.526 Pu
0.001 0.000 0.001 Tl
6.797 3.923 2.530 In
1.566 1.972 1.370 F
2.488 0.371 3.683 F
5.232 1.973 3.684 F
2.468 3.552 3.671 F
4.330 3.540 1.368 F
4.308 0.357 1.382 F
```



[3]
## PuZnInF6 (PBE)

Data for a relaxed PuZnInF6 crystal.

## Properties
DFT total energy: -5.964 eV per atom
calculated volume: 172.7 Å³ per cell
space-group type: C2 (5)

Geometry as POSCAR:
```
PuZnInF6
1.0
5.979 0.005 0.002
2.994 5.175 -0.002
0.002 -0.004 5.584
Pu Zn In F
1 1 1 6
Cartesian
5.981 3.451 2.792 Pu
2.993 1.725 2.792 Zn
8.971 5.174 5.584 In
1.246 1.873 1.660 F
2.247 0.139 3.924 F
4.739 1.877 3.924 F
1.988 3.164 3.922 F
3.997 3.162 1.660 F
3.736 0.136 1.662 F
```



[4]
## RbIn3F9 (PBE)

Data for a relaxed RbIn3F9 crystal.

## Properties
DFT total energy: -4.499 eV per atom
calculated volume: 470.2 Å³ per cell
space-group type: P2_1/m (11)

Geometry as POSCAR:
```
RbIn3F9
1.0
-4.227 4.767 -0.147
-6.132 -5.494 -1.862
-1.340 -1.395 8.530
Rb In F
2 6 18
Cartesian
-2.258 -1.869 3.385 Rb
-9.440 -0.253 3.136 Rb
0.000 0.000 0.000 In
-3.066 -2.747 -0.931 In
-5.983 -1.471 4.983 In
-2.940 1.256 5.908 In
-8.759 -3.377 0.614 In
-5.715 -0.651 1.538 In
-3.117 -2.473 7.995 F
-7.647 -5.628 4.916 F
-5.028 -3.281 5.712 F
-7.847 -4.605 2.203 F
-5.115 -2.157 3.033 F
-4.115 -0.450 5.314 F
-7.333 -4.057 -0.813 F
-4.694 -1.694 -0.011 F
-3.904 0.428 2.029 F
-7.794 -2.550 4.493 F
-4.366 1.936 7.334 F
-7.005 -0.428 6.533 F
-7.584 -1.671 1.207 F
-3.852 2.483 4.318 F
-6.584 0.035 3.489 F
-4.051 3.506 1.606 F
-6.671 1.159 0.810 F
-8.582 0.351 -1.473 F
```



[5]
## Rb3InF (PBE)

Data for a relaxed Rb3InF crystal.

## Properties
DFT total energy: -2.485 eV per atom
calculated volume: 198.5 Å³ per cell
space-group type: Pm-3m (221)

Geometry as POSCAR:
```
Rb3InF
1.0
-4.207 -0.160 -4.037
-2.589 -4.367 2.872
-3.101 3.864 3.079
F Rb In
1 3 1
Cartesian
0.000 0.000 0.000 F
-1.295 -2.184 1.436 Rb
-1.551 1.932 1.539 Rb
-2.104 -0.080 -2.018 Rb
-4.949 -0.332 0.957 In
```



[6]
## Rb2InF4 (PBE)

Data for a relaxed Rb2InF4 crystal.

## Properties
DFT total energy: -4.187 eV per atom
calculated volume: 315.9 Å³ per cell
space-group type: P2_1/m (11)

Geometry as POSCAR:
```
Rb2InF4
1.0
7.482 0.000 -1.311
0.000 5.686 0.000
-4.114 0.000 8.146
Rb In F
4 2 8
Cartesian
4.684 4.264 0.093 Rb
-1.316 1.421 6.742 Rb
0.509 1.421 3.095 Rb
2.860 4.264 3.740 Rb
0.889 4.264 0.457 In
2.480 1.421 6.378 In
2.282 2.862 1.169 F
-2.217 4.264 6.686 F
5.586 1.421 0.149 F
2.282 5.667 1.169 F
3.441 1.421 4.437 F
1.087 0.019 5.666 F
1.087 2.824 5.666 F
-0.073 4.264 2.398 F
```



[7]
## Rb2InF5 (PBE)

Data for a relaxed Rb2InF5 crystal.

## Properties
DFT total energy: -4.443 eV per atom
calculated volume: 573.9 Å³ per cell
space-group type: Pnma (62)

Geometry as POSCAR:
```
Rb2InF5
1.0
-6.507 -0.737 1.916
-0.711 -5.761 -4.630
3.232 -7.040 8.265
Rb In F
8 4 20
Cartesian
-0.576 -9.096 5.399 Rb
-3.410 -4.443 0.153 Rb
-4.355 -8.253 5.040 Rb
-3.061 -1.615 2.425 Rb
0.368 -5.285 0.512 Rb
-0.925 -11.923 3.126 Rb
0.019 -8.113 -1.760 Rb
-4.006 -5.425 7.312 Rb
-1.472 -5.294 3.837 In
-2.514 -8.244 1.715 In
-3.469 -12.056 6.604 In
-0.517 -1.483 -1.052 In
0.613 -5.212 3.415 F
-4.599 -8.327 2.137 F
-1.518 -11.681 5.838 F
-2.468 -1.858 -0.286 F
-1.118 -9.678 0.846 F
-2.868 -3.861 4.706 F
-2.479 -7.520 9.200 F
-3.159 -6.220 2.810 F
-1.507 -6.019 -3.648 F
-0.827 -7.318 2.742 F
-1.216 -3.659 -1.752 F
-2.771 -9.879 7.304 F
1.589 -7.319 5.887 F
-5.576 -6.219 -0.335 F
-2.477 -9.572 3.361 F
-1.509 -3.967 2.191 F
-1.864 -6.554 5.465 F
-2.122 -6.985 0.087 F
1.585 -10.268 3.603 F
-5.572 -3.271 1.949 F
```



[8]
## Rb3In2F9 (PBE)

Data for a relaxed Rb3In2F9 crystal.

## Properties
DFT total energy: -4.464 eV per atom
calculated volume: 516.9 Å³ per cell
space-group type: R-3c (167)

Geometry as POSCAR:
```
Rb3In2F9
1.0
8.014 -0.142 0.563
0.514 7.999 0.563
-0.154 -0.142 8.033
Rb In F
6 4 18
Cartesian
3.663 5.929 1.371 Rb
2.381 7.166 5.387 Rb
7.563 4.550 2.852 Rb
0.812 3.166 6.306 Rb
5.994 0.550 3.771 Rb
4.712 1.787 7.787 Rb
1.194 1.100 1.305 In
5.381 4.957 5.884 In
7.182 6.616 7.853 In
2.994 2.758 3.274 In
6.403 7.256 1.574 F
1.061 7.315 2.640 F
2.188 3.076 1.237 F
4.961 5.927 4.130 F
5.224 6.934 6.868 F
7.432 5.787 5.816 F
2.167 4.542 3.849 F
4.825 3.257 2.502 F
7.498 1.928 1.292 F
0.877 5.788 7.865 F
3.551 4.459 6.656 F
3.151 0.782 2.289 F
6.208 3.174 5.309 F
0.943 1.929 3.342 F
3.415 1.789 5.028 F
6.187 4.640 7.921 F
7.314 0.401 6.518 F
1.972 0.459 7.583 F
```



[9]
## RbIn4F12 (PBE)

Data for a relaxed RbIn4F12 crystal.

## Properties
DFT total energy: -4.516 eV per atom
calculated volume: 317.7 Å³ per cell
space-group type: Im-3 (204)

Geometry as POSCAR:
```
RbIn4F12
1.0
7.445 0.000 0.000
-2.482 7.019 0.000
-2.482 -3.510 6.079
Rb In F
1 4 12
Cartesian
0.000 0.000 0.000 Rb
-1.241 3.510 0.000 In
3.723 0.000 0.000 In
1.241 1.755 3.039 In
-1.241 -1.755 3.039 In
5.028 1.709 0.031 F
0.025 2.573 1.465 F
4.938 -0.955 4.583 F
-0.065 -2.629 4.614 F
-2.457 4.464 1.496 F
2.457 0.937 4.614 F
2.417 0.828 1.496 F
0.065 2.682 4.583 F
2.546 6.138 1.465 F
2.507 3.492 3.119 F
-0.025 0.018 2.960 F
-2.546 1.800 6.048 F
```



[10]
## Rb2In2F7 (PBE)

Data for a relaxed Rb2In2F7 crystal.

## Properties
DFT total energy: -4.319 eV per atom
calculated volume: 280.7 Å³ per cell
space-group type: C2/m (12)

Geometry as POSCAR:
```
Rb2In2F7
1.0
-4.845 3.630 -2.308
-3.791 -5.832 0.863
1.098 3.816 5.776
Rb In F
2 2 7
Cartesian
-2.847 2.627 3.092 Rb
-4.691 -1.013 1.239 Rb
-5.009 2.716 -0.350 In
-2.529 -1.102 4.681 In
-4.206 -1.962 3.823 F
-4.767 0.744 -0.934 F
-3.332 3.576 0.508 F
-2.771 0.870 5.265 F
0.000 0.000 0.000 F
-5.397 1.835 1.767 F
-2.141 -0.221 2.564 F
```



[11]
## RbIn3F10 (PBE)

Data for a relaxed RbIn3F10 crystal.

## Properties
DFT total energy: -4.577 eV per atom
calculated volume: 438.3 Å³ per cell
space-group type: Pmma (51)

Geometry as POSCAR:
```
RbIn3F10
1.0
-1.302 6.050 -2.714
-7.757 -1.169 1.116
0.547 3.442 7.408
Rb In F
2 6 20
Cartesian
-3.758 0.354 2.375 Rb
-4.753 7.969 3.435 Rb
-2.479 4.429 2.650 In
-6.306 2.173 -0.543 In
0.274 1.721 3.704 In
0.000 0.000 0.000 In
-2.753 2.708 -1.055 In
-6.032 3.893 3.161 In
-1.279 4.192 6.689 F
-6.163 2.152 4.485 F
-2.561 4.834 -1.551 F
-7.020 5.466 1.998 F
-1.492 2.856 3.812 F
-5.950 3.488 7.362 F
-2.349 6.170 1.326 F
-7.233 4.130 -0.879 F
-0.651 3.025 -1.357 F
-0.377 4.746 2.347 F
0.021 1.397 1.611 F
-0.776 8.094 3.083 F
-4.753 3.622 -1.115 F
-4.506 5.178 2.235 F
-3.759 4.701 6.925 F
-4.006 3.145 3.575 F
-5.983 2.575 1.508 F
-2.600 3.085 1.021 F
-5.912 5.238 4.789 F
-2.529 5.748 4.302 F
```



[12]
## Rb4InF5 (PBE)

Data for a relaxed Rb4InF5 crystal.

## Properties
DFT total energy: -4.059 eV per atom
calculated volume: 232.7 Å³ per cell
space-group type: I4 (79)

Geometry as POSCAR:
```
Rb4InF5
1.0
-4.427 -1.933 3.282
-3.824 -5.022 -2.920
1.575 -5.329 4.182
Rb In F
4 1 5
Cartesian
-2.089 -7.075 3.558 Rb
-5.715 -8.813 2.840 Rb
-1.090 -3.527 1.800 Rb
-4.716 -5.265 1.081 Rb
-4.394 -1.919 3.257 In
-4.336 -8.024 5.235 F
-3.510 -7.868 1.246 F
-3.356 -4.498 3.438 F
-2.529 -4.342 -0.551 F
-1.656 -0.723 1.228 F
```